(1)
This record from Alexandria describes a geometry-optimized La6CeYTm2 structure. The functional is GGA-PBE.

a = 12.143 Å, b = 6.884 Å, c = 9.070 Å
α = 90.00°, β = 110.82°, γ = 90.00°
Space group C2/m (No. 12)
One atom of each set of equivalent atoms:
La 0.145 0.239 0.309
La 0.167 0.000 0.923
Ce 0.000 0.000 0.500
Y 0.000 0.500 0.000
Tm 0.101 0.500 0.680

Computed properties:
Energy ... -97.293 eV for the cell shown
Fermi-level density of states ... 43.4 states/eV per cell
Crystal system ... monoclinic

(2)
This record from Alexandria describes a geometry-optimized SrSbI2O structure. The functional is GGA-PBE.

a = 5.338 Å, b = 5.338 Å, c = 4.767 Å
α = 90.00°, β = 90.00°, γ = 90.00°
Space group P4/mmm (No. 123)
One atom of each set of equivalent atoms:
Sr 0.000 0.000 0.000
Sb 0.500 0.500 0.000
I 0.000 0.500 0.500
O 0.500 0.500 0.500

Computed properties:
Excess energy over the best structure of this formula in the dataset ... 325 meV per atom
E_form (uncorrected) ... -479.0 meV per atom
Fermi-level density of states ... 1.5 states/eV per cell
Crystal system ... tetragonal